Run 1
Here is PmMgTlPb after structural relaxation from the Alexandria database. Energies are from PBE.

POSCAR file:
```
PmMgTlPb
1.0
-0.840 3.098 -3.188
2.624 -2.665 -3.281
-3.991 -2.379 -1.260
Tl Pb Mg Pm
1 1 1 1
direct
0.000 0.000 0.000
0.000 0.500 0.500
0.500 0.000 0.500
0.500 0.500 0.000
```

Theoretical density = 8.90 Mg/m³


Run 2
Here is PmMgTlPb after structural relaxation from the Alexandria database. Energies are from PBE.

POSCAR file:
```
PmMgTlPb
1.0
5.397 0.000 0.000
2.699 4.674 0.000
2.699 1.558 4.407
Pb Mg Pm Tl
1 1 1 1
direct
0.250 0.250 0.250
0.000 0.000 0.000
0.500 0.500 0.500
0.750 0.750 0.750
```

Theoretical density = 8.68 Mg/m³


The structure with the most favorable energy is run 1; the runner-up is 128 meV/atom above it.


Run 1
Here is PmMgZnPb after structural relaxation from the Alexandria database. Energies are from PBE.

POSCAR file:
```
PmMgZnPb
1.0
-2.480 0.674 3.594
-3.867 -0.800 -2.518
0.270 -4.612 1.051
Pb Mg Pm Zn
1 1 1 1
direct
0.000 0.500 0.500
0.500 0.500 0.000
0.500 0.000 0.500
0.000 0.000 0.000
```

Theoretical density = 7.48 Mg/m³


Run 2
Here is PmMgZnPb after structural relaxation from the Alexandria database. Energies are from PBE.

POSCAR file:
```
PmMgZnPb
1.0
5.198 0.000 0.000
2.599 4.501 0.000
2.599 1.500 4.244
Zn Pb Mg Pm
1 1 1 1
direct
0.000 0.000 0.000
0.500 0.500 0.500
0.250 0.250 0.250
0.750 0.750 0.750
```

Theoretical density = 7.39 Mg/m³


The structure with the most favorable energy is run 1; the runner-up is 97 meV/atom above it.


Run 1
Here is Pr3Mg2Pb4 after structural relaxation from the Alexandria database. Energies are from PBE.

POSCAR file:
```
Pr3Mg2Pb4
1.0
-2.213 -2.878 3.172
6.302 -1.008 3.475
-3.008 8.021 1.525
Pr Mg Pb
3 2 4
direct
0.869 0.388 0.738
0.000 0.000 0.000
0.131 0.612 0.262
0.331 0.005 0.663
0.669 0.995 0.337
0.784 0.751 0.569
0.216 0.249 0.431
0.513 0.303 0.027
0.487 0.697 0.973
```

Theoretical density = 7.89 Mg/m³


Run 2
Here is Pr3Mg2Pb4 after structural relaxation from the Alexandria database. Energies are from PBE.

POSCAR file:
```
Pr3Mg2Pb4
1.0
-2.444 3.373 -2.305
-2.770 -1.216 6.072
7.612 5.906 0.572
Mg Pb Pr
2 4 3
direct
0.311 0.622 0.636
0.689 0.378 0.364
0.300 0.600 0.931
0.928 0.856 0.613
0.072 0.144 0.387
0.700 0.400 0.069
0.000 0.000 0.000
0.628 0.256 0.694
0.372 0.744 0.306
```

Theoretical density = 8.09 Mg/m³


The structure with the most favorable energy is run 1; the runner-up is 10 meV/atom above it.